Here is crystalline La2NbW at its relaxed geometry from the Alexandria database. Energies are from PBE.

Its formation energy is 1.1228 eV/atom. As for the energy above the lowest structure with this stoichiometry: 1.02 eV per formula unit. For the density of states at the Fermi level, the calculation gives 1.4310 states/eV/atom. The calculation puts the final energy at -7.0967 eV/atom. Its crystal system is tetragonal. As for the space-group type: I-42d, No. 122.

a = 6.5394 Å, b = 6.5394 Å, c = 6.5394 Å
α = 101.52°, β = 101.52°, γ = 126.91°
Last column: nearest neighbours and their distance in Å.
Atoms (fractional coordinates):
La (0.1125, 0.1250, 0.4875)  2 La 2.93, 2 W 2.94, 2 Nb 3.09
La (0.3750, 0.8875, 0.0125)  2 La 2.93, 2 W 2.94, 2 Nb 3.09
La (0.6375, 0.6250, 0.5125)  2 La 2.93, 2 W 2.94, 2 Nb 3.09
La (0.8750, 0.3625, 0.9875)  2 La 2.93, 2 W 2.94, 2 Nb 3.09
Nb (0.2500, 0.7500, 0.5000)  2 W 2.92, 4 La 3.09
Nb (0.5000, 0.5000, 0.0000)  2 W 2.92, 4 La 3.09
W (0.0000, 0.0000, 0.0000)  2 Nb 2.92, 4 La 2.94
W (0.7500, 0.2500, 0.5000)  2 Nb 2.92, 4 La 2.94


Here is crystalline Mn3Se at its relaxed geometry from the Alexandria database. Energies are from PBE.

The formation energy without anion corrections is 0.23 eV/atom. As for the energy above the lowest structure with this stoichiometry: 0.50 eV per formula unit. For the density of states at the Fermi level, the calculation gives 0.5927 states/eV/atom. The calculation puts the final energy at -7.5203 eV/atom. Its crystal system is orthorhombic. As for the space-group type: Cmmm, No. 65.

a = 4.0294 Å, b = 4.0294 Å, c = 3.2475 Å
α = 90.00°, β = 90.00°, γ = 100.64°
Last column: nearest neighbours and their distance in Å.
Atoms (fractional coordinates):
Mn (0.0000, 0.0000, 0.0000)  2 Se 2.57, 8 Mn 2.59
Mn (0.0000, 0.5000, 0.5000)  6 Mn 2.57-2.59, 4 Se 2.59
Mn (0.5000, 0.0000, 0.5000)  6 Mn 2.57-2.59, 4 Se 2.59
Se (0.5000, 0.5000, 0.0000)  10 Mn 2.57-2.59


Here is crystalline SmThTlAu at its relaxed geometry from the Alexandria database. Energies are from PBE.

Its formation energy is -0.3848 eV/atom. As for the energy above the lowest structure with this stoichiometry: 0.30 eV per formula unit. For the density of states at the Fermi level, the calculation gives 0.9051 states/eV/atom. The calculation puts the final energy at -4.8305 eV/atom. Its crystal system is cubic. As for the space-group type: F-43m, No. 216.

a = 5.3755 Å, b = 5.3755 Å, c = 5.3755 Å
α = 60.00°, β = 60.00°, γ = 60.00°
Last column: nearest neighbours and their distance in Å.
Atoms (fractional coordinates):
Sm (0.0000, 0.0000, 0.0000)  4 Au 3.29, 4 Tl 3.29
Th (0.5000, 0.5000, 0.5000)  4 Au 3.29, 4 Tl 3.29
Tl (0.2500, 0.2500, 0.2500)  4 Th 3.29, 4 Sm 3.29
Au (0.7500, 0.7500, 0.7500)  4 Th 3.29, 4 Sm 3.29


Here is crystalline TlCdS2Cl at its relaxed geometry from the Alexandria database. Energies are from PBE.

The formation energy without anion corrections is 0.26 eV/atom. As for the energy above the lowest structure with this stoichiometry: 1.61 eV per formula unit. For the density of states at the Fermi level, the calculation gives 0.4075 states/eV/atom. The calculation puts the final energy at -2.4178 eV/atom. Its crystal system is tetragonal. As for the space-group type: P4/mmm, No. 123.

a = 5.1560 Å, b = 5.1560 Å, c = 5.2370 Å
α = 90.00°, β = 90.00°, γ = 90.00°
Last column: nearest neighbours and their distance in Å.
Atoms (fractional coordinates):
Tl (0.0000, 0.0000, 0.0000)  4 S 2.58, 2 Cl 2.62
Cd (0.5000, 0.5000, 0.5000)  4 Cl 3.65, 8 S 3.67
S (0.0000, 0.5000, 0.0000)  2 Tl 2.58
S (0.5000, 0.0000, 0.0000)  2 Tl 2.58
Cl (0.0000, 0.0000, 0.5000)  2 Tl 2.62


Here is crystalline Li2Mn2Se at its relaxed geometry from the Alexandria database. Energies are from PBE.

The formation energy without anion corrections is 0.59 eV/atom. As for the energy above the lowest structure with this stoichiometry: 2.37 eV per formula unit. For the density of states at the Fermi level, the calculation gives 1.2697 states/eV/atom. The calculation puts the final energy at -4.5368 eV/atom. Its crystal system is tetragonal. As for the space-group type: P4/mbm, No. 127.

a = 5.8000 Å, b = 5.8000 Å, c = 3.3689 Å
α = 90.00°, β = 90.00°, γ = 90.00°
Last column: nearest neighbours and their distance in Å.
Atoms (fractional coordinates):
Li (0.1238, 0.3762, 0.0000)  1 Li 2.03
Li (0.3762, 0.8762, 0.0000)  1 Li 2.03
Li (0.6238, 0.1238, 0.0000)  1 Li 2.03
Li (0.8762, 0.6238, 0.0000)  1 Li 2.03
Mn (0.1808, 0.6808, 0.5000)  6 Li 2.32-2.46
Mn (0.3192, 0.1808, 0.5000)  6 Li 2.32-2.46
Mn (0.6808, 0.8192, 0.5000)  6 Li 2.32-2.46
Mn (0.8192, 0.3192, 0.5000)  6 Li 2.32-2.46
Se (0.0000, 0.0000, 0.0000)  4 Li 2.30
Se (0.5000, 0.5000, 0.0000)  4 Li 2.30


Here is crystalline PWSCl2 at its relaxed geometry from the Alexandria database. Energies are from PBE.

The formation energy without anion corrections is 1.14 eV/atom. As for the energy above the lowest structure with this stoichiometry: 3.14 eV per formula unit. For the density of states at the Fermi level, the calculation gives 1.1134 states/eV/atom. The calculation puts the final energy at -4.0988 eV/atom. Its crystal system is tetragonal. As for the space-group type: P4/mmm, No. 123.

a = 4.6381 Å, b = 4.6381 Å, c = 4.8889 Å
α = 90.00°, β = 90.00°, γ = 90.00°
Last column: nearest neighbours and their distance in Å.
Atoms (fractional coordinates):
P (0.0000, 0.0000, 0.0000)  4 Cl 2.32, 2 S 2.44
W (0.5000, 0.5000, 0.5000)  4 S 3.28, 8 Cl 3.37
S (0.0000, 0.0000, 0.5000)  2 P 2.44
Cl (0.0000, 0.5000, 0.0000)  2 P 2.32
Cl (0.5000, 0.0000, 0.0000)  2 P 2.32